No. 1
VASP calculation (GGA-PBE) on an optimized crystal structure of CsGaIN2.

Properties
Energy relative to the lowest polymorph listed for this composition: 3.81 eV per formula unit
SG: P4/mmm (123)

a = 5.009 Å, b = 5.009 Å, c = 7.626 Å
α = 90.00°, β = 90.00°, γ = 90.00°
Atoms (fractional coordinates):
Cs1 0.000 0.000 0.000
Ga1 0.500 0.500 0.500
I1 0.000 0.000 0.500
N1 0.000 0.500 0.000
N2 0.500 0.000 0.000

No. 2
VASP calculation (GGA-PBE) on an optimized crystal structure of CsGaI2N.

Properties
SG: P4/mmm (123)

a = 7.012 Å, b = 7.012 Å, c = 4.618 Å
α = 90.00°, β = 90.00°, γ = 90.00°
Atoms (fractional coordinates):
Cs1 0.000 0.000 0.000
Ga1 0.500 0.500 0.500
I1 0.000 0.500 0.000
I2 0.500 0.000 0.000
N1 0.000 0.000 0.500

| no. | ΔE_f (raw) (eV/atom) |
| --- | --- |
| 1 | 1.777 |
| 2 | 0.846 |